The following is a PBE calculation of an optimized crystal structure of PmY12Ho3, from Alexandria.

Geometry as CIF:
```
data_PmY12Ho3
_chemical_formula_sum 'Pm1 Y12 Ho3'
_space_group_name_H-M_alt 'P 4/m m m'
_space_group_IT_number 123
_space_group_name_Hall '-P 4 2'
_cell_length_a 5.045
_cell_length_b 5.045
_cell_length_c 20.185
_cell_angle_alpha 90.00
_cell_angle_beta 90.00
_cell_angle_gamma 90.00
loop_
_atom_site_label
_atom_site_fract_x
_atom_site_fract_y
_atom_site_fract_z
Pm1 0.000 0.000 0.000
Y1 0.000 0.500 0.126
Y2 0.000 0.500 0.375
Y3 0.500 0.500 0.000
Y4 0.500 0.500 0.251
Y5 0.500 0.500 0.500
Ho1 0.000 0.000 0.251
Ho2 0.000 0.000 0.500
```

Calculated values
* calculated total energy: -95.68 eV for the cell shown
* DFT formation energy: 0.024 eV per atom